Entry 1:
The following is a PBE calculation of a relaxed Tm2ScTe crystal, from Alexandria via LeMat-Bulk.

Lattice parameters (Å, degrees): 3.8988 3.8988 6.9715 90.00 90.00 90.00
Space group P4/mmm (No. 123)
Inequivalent atoms, fractional coordinates:
Tm 0.0000 0.0000 0.2472
Sc 0.5000 0.5000 0.5000
Te 0.5000 0.5000 0.0000

polymorph energy (0 for the lowest one): 60 meV/atom

Entry 2:
The following is a PBE calculation of a relaxed Tm3ScTe3 crystal, from Alexandria via LeMat-Bulk.

Lattice parameters (Å, degrees): 6.9758 6.9758 30.0796 90.00 90.00 120.00
Space group R-3 (No. 148, hexagonal axes)
Inequivalent atoms, fractional coordinates:
Tm 0.0013 0.6604 0.3787
Sc 0.0000 0.0000 0.1669
Te 0.0008 0.6780 0.5560

polymorph energy (0 for the lowest one): 96 meV/atom

Entry 3:
The following is a PBE calculation of a relaxed Tm5Sc2Te4 crystal, from Alexandria via LeMat-Bulk.

Lattice parameters (Å, degrees): 3.8380 7.9807 19.9472 90.00 90.00 90.00
Space group Immm (No. 71)
Inequivalent atoms, fractional coordinates:
Tm 0.0000 0.0000 0.0000
Tm 0.0000 0.2778 0.3451
Sc 0.0000 0.5000 0.0766
Te 0.0000 0.2094 0.5000
Te 0.0000 0.5000 0.2204

Entry 4:
The following is a PBE calculation of a relaxed TmSc2Te crystal, from Alexandria via LeMat-Bulk.

Lattice parameters (Å, degrees): 3.8052 11.5358 9.1325 90.00 90.00 90.00
Space group Cmcm (No. 63)
Inequivalent atoms, fractional coordinates:
Tm 0.0000 0.0500 0.2500
Sc 0.0000 0.3644 0.0357
Te 0.0000 0.2345 0.7500

polymorph energy (0 for the lowest one): 0 meV/atom

| no. | ΔE_f (raw) (eV/atom) | total DFT energy (no corrections) (eV per atom) |
| --- | --- | --- |
| 1 | -0.542 | -5.1464 |
| 2 | -0.861 | -5.0278 |
| 3 | -0.718 | -5.0440 |
| 4 | -0.628 | -5.6972 |